[1]
Ho2TmGa3: optimized geometry, PBE.

a b c (Å): 5.0093 5.0093 12.2957
angles (deg): 90.00 90.00 120.00
Fractional coordinates of all 12 atoms:
Ho1 0.0000 0.0000 0.0000
Ho2 0.0000 0.0000 0.5000
Ho3 0.3333 0.6667 0.1678
Ho4 0.6667 0.3333 0.8322
Tm1 0.3333 0.6667 0.6667
Tm2 0.6667 0.3333 0.3333
Ga1 0.0000 0.0000 0.2509
Ga2 0.0000 0.0000 0.7491
Ga3 0.3333 0.6667 0.4173
Ga4 0.3333 0.6667 0.9162
Ga5 0.6667 0.3333 0.0838
Ga6 0.6667 0.3333 0.5827

Energy above the lowest structure with this stoichiometry ... 0 meV per atom
Fermi-level density of states ... 2.41 states/eV/f.u.
Energy of formation from the pure elements ... -0.5756 eV/atom
Total energy ... -4.3602 eV/atom

---

[2]
Ho3TmGa: optimized geometry, PBE.

a b c (Å): 7.3383 7.3383 7.6369
angles (deg): 120.89 120.89 74.02
Fractional coordinates of all 10 atoms:
Ho1 0.0544 0.0544 0.3295
Ho2 0.0908 0.4747 0.2487
Ho3 0.4747 0.0908 0.2487
Ho4 0.5253 0.9092 0.7513
Ho5 0.9092 0.5253 0.7513
Ho6 0.9456 0.9456 0.6705
Tm1 0.4327 0.4327 0.7314
Tm2 0.5673 0.5673 0.2686
Ga1 0.2562 0.2562 0.8872
Ga2 0.7438 0.7438 0.1128

Fermi-level density of states ... 7.26 states/eV/f.u.
Energy of formation from the pure elements ... -0.0664 eV/atom
Total energy ... -4.3127 eV/atom

---

[3]
Ho3TmGa4: optimized geometry, PBE.

a b c (Å): 3.5660 6.6830 16.4766
angles (deg): 90.00 90.00 90.00
Fractional coordinates of all 16 atoms:
Ho1 0.0000 0.0000 0.0000
Ho2 0.0000 0.5000 0.2027
Ho3 0.0000 0.5000 0.7973
Ho4 0.5000 0.0000 0.2973
Ho5 0.5000 0.0000 0.7027
Ho6 0.5000 0.5000 0.5000
Tm1 0.0000 0.0000 0.5000
Tm2 0.5000 0.5000 0.0000
Ga1 0.0000 0.3062 0.3709
Ga2 0.0000 0.3062 0.6291
Ga3 0.0000 0.6938 0.3709
Ga4 0.0000 0.6938 0.6291
Ga5 0.5000 0.1938 0.1291
Ga6 0.5000 0.1938 0.8709
Ga7 0.5000 0.8062 0.1291
Ga8 0.5000 0.8062 0.8709

Energy above the lowest structure with this stoichiometry ... 113 meV per atom
Fermi-level density of states ... 4.16 states/eV/f.u.
Energy of formation from the pure elements ... -0.4616 eV/atom
Total energy ... -4.2506 eV/atom

---

[4]
Ho4TmGa15: optimized geometry, PBE.

a b c (Å): 4.2625 4.2625 21.2186
angles (deg): 90.00 90.00 90.00
Fractional coordinates of all 20 atoms:
Ho1 0.0000 0.0000 0.1002
Ho2 0.0000 0.0000 0.3006
Ho3 0.0000 0.0000 0.6994
Ho4 0.0000 0.0000 0.8998
Tm1 0.0000 0.0000 0.5000
Ga1 0.0000 0.5000 0.0000
Ga2 0.0000 0.5000 0.2003
Ga3 0.0000 0.5000 0.4008
Ga4 0.0000 0.5000 0.5992
Ga5 0.0000 0.5000 0.7997
Ga6 0.5000 0.0000 0.0000
Ga7 0.5000 0.0000 0.2003
Ga8 0.5000 0.0000 0.4008
Ga9 0.5000 0.0000 0.5992
Ga10 0.5000 0.0000 0.7997
Ga11 0.5000 0.5000 0.1002
Ga12 0.5000 0.5000 0.3002
Ga13 0.5000 0.5000 0.5000
Ga14 0.5000 0.5000 0.6998
Ga15 0.5000 0.5000 0.8998

Fermi-level density of states ... 7.94 states/eV/f.u.
Energy of formation from the pure elements ... -0.5298 eV/atom
Total energy ... -3.9391 eV/atom